{"formula": "CaPm5As6", "functional": "PBE", "state": "optimized geometry", "ef_mev_per_atom": -1421, "n_ef_per_ev_atom": 0.381, "lattice": [[3.671, -6.363, 0.000], [3.671, 6.363, 0.000], [-2.451, 0.000, 6.937]], "species": ["Ca", "Pm", "Pm", "Pm", "Pm", "Pm", "As", "As", "As", "As", "As", "As"], "frac_coords": [[0.000, 0.000, 0.000], [0.166, 0.834, 0.500], [0.333, 0.667, 0.000], [0.500, 0.500, 0.500], [0.667, 0.333, 0.000], [0.834, 0.166, 0.500], [0.084, 0.420, 0.251], [0.253, 0.253, 0.748], [0.420, 0.084, 0.251], [0.580, 0.916, 0.749], [0.747, 0.747, 0.252], [0.916, 0.580, 0.749]]}